Entry from the Alexandria database: a geometry-optimized Be2HgP2 structure (PBE). Values from VASP.

Output
**Fermi-level density of states**: 0.3 states/eV/cell
**Magnetic moment**: 0.0 μB/f.u.
**ΔH_f (0 K)**: 12.1 kJ per mole of atoms
**Total energy**: -3.59 eV per atom

Cell and atoms, written as Quantum ESPRESSO input:
```
&SYSTEM
  ibrav = 0, nat = 5, ntyp = 3
/
ATOMIC_SPECIES
P 30.97 P.upf
Hg 200.59 Hg.upf
Be 9.01 Be.upf
CELL_PARAMETERS angstrom
4.143 0.000 0.000
0.000 4.143 0.000
2.072 2.072 4.356
ATOMIC_POSITIONS crystal
P 0.370 0.370 0.261
P 0.630 0.630 0.739
Hg 0.000 0.000 0.000
Be 0.750 0.250 0.500
Be 0.250 0.750 0.500
```